Below is a geometry-optimized KNaMo2O6 structure, with properties calculated at the PBE with a Hubbard U level.

The structure in POSCAR format:
```
KNaMo2O6
1.0
3.962 0.000 0.000
0.000 3.962 0.000
0.000 0.000 7.925
K Na Mo O
1 1 2 6
direct
0.000 0.000 0.000
0.000 0.000 0.500
0.500 0.500 0.253
0.500 0.500 0.747
0.000 0.500 0.255
0.000 0.500 0.745
0.500 0.000 0.255
0.500 0.000 0.745
0.500 0.500 0.000
0.500 0.500 0.500
```

Summary:
- D(E_F): 0.137 states/eV/atom
- Space group: No. 123
- Energy: -6.359 eV per atom
- Crystal system: tetragonal
- Magnetization: 0.96 μB/cell